# Ac3V2As2N4 (PBE-GGA, optimized geometry)
data_Ac3V2As2N4
_chemical_formula_sum 'Ac6 V4 As4 N8'
_cell_length_a 4.1394
_cell_length_b 4.1394
_cell_length_c 23.0822
_cell_angle_alpha 90.00
_cell_angle_beta 90.00
_cell_angle_gamma 90.00
_space_group_name_H-M_alt 'I 4/m m m'
_space_group_IT_number 139
_space_group_name_Hall '-I 4 2'
loop_
_atom_site_label
_atom_site_fract_x
_atom_site_fract_y
_atom_site_fract_z
Ac1 0.0000 0.0000 0.0000
Ac2 0.0000 0.0000 0.1570
V1 0.0000 0.0000 0.4118
As1 0.0000 0.0000 0.3043
N1 0.0000 0.5000 0.0785
# Formation energy (no corrections), eV/atom: -1.00

***

# AcZn2AsN (PBE-GGA, optimized geometry)
data_AcZn2AsN
_chemical_formula_sum 'Ac4 Zn8 As4 N4'
_cell_length_a 3.9422
_cell_length_b 11.5500
_cell_length_c 8.1345
_cell_angle_alpha 90.00
_cell_angle_beta 90.00
_cell_angle_gamma 90.00
_space_group_name_H-M_alt 'C m c m'
_space_group_IT_number 63
_space_group_name_Hall '-C 2c 2'
loop_
_atom_site_label
_atom_site_fract_x
_atom_site_fract_y
_atom_site_fract_z
Ac1 0.0000 0.0439 0.2500
Zn1 0.0000 0.3302 0.0484
As1 0.0000 0.2311 0.7500
N1 0.0000 0.5000 0.0000
# Formation energy (no corrections), eV/atom: -0.55

***

# NaAcAs (PBE-GGA, optimized geometry)
data_NaAcAs
_chemical_formula_sum 'Na2 Ac2 As2'
_cell_length_a 4.7678
_cell_length_b 6.3739
_cell_length_c 7.4494
_cell_angle_alpha 66.36
_cell_angle_beta 89.92
_cell_angle_gamma 89.97
_space_group_name_H-M_alt 'P -1'
_space_group_IT_number 2
loop_
_space_group_symop_operation_xyz
'x,y,z'
'-x,-y,-z'
loop_
_atom_site_label
_atom_site_fract_x
_atom_site_fract_y
_atom_site_fract_z
Na1 0.2496 0.1595 0.4020
Ac1 0.2504 0.3143 0.8554
As1 0.2500 0.8194 0.8499
# ΔE_f, eV per atom: -0.74

***

# NaAcAs (PBE-GGA, optimized geometry)
data_NaAcAs
_chemical_formula_sum 'Na4 Ac4 As4'
_cell_length_a 7.2670
_cell_length_b 7.2670
_cell_length_c 7.2670
_cell_angle_alpha 90.00
_cell_angle_beta 90.00
_cell_angle_gamma 90.00
_space_group_name_H-M_alt 'F -4 3 m'
_space_group_IT_number 216
_space_group_name_Hall 'F -4 2 3'
loop_
_atom_site_label
_atom_site_fract_x
_atom_site_fract_y
_atom_site_fract_z
Na1 0.0000 0.0000 0.0000
Ac1 0.0000 0.0000 0.5000
As1 0.2500 0.2500 0.7500
# ΔE_f, eV per atom: -0.70

***

# NaAcAs2 (PBE-GGA, optimized geometry)
data_NaAcAs2
_chemical_formula_sum 'Na4 Ac4 As8'
_cell_length_a 7.4945
_cell_length_b 7.4945
_cell_length_c 7.4945
_cell_angle_alpha 90.00
_cell_angle_beta 90.00
_cell_angle_gamma 90.00
_space_group_name_H-M_alt 'F m -3 m'
_space_group_IT_number 225
_space_group_name_Hall '-F 4 2 3'
loop_
_atom_site_label
_atom_site_fract_x
_atom_site_fract_y
_atom_site_fract_z
Na1 0.0000 0.0000 0.0000
Ac1 0.0000 0.0000 0.5000
As1 0.2500 0.2500 0.2500
# ΔE_f, eV per atom: -0.66

***

# NaAcAs2 (PBE-GGA, optimized geometry)
data_NaAcAs2
_chemical_formula_sum 'Na1 Ac1 As2'
_cell_length_a 4.9943
_cell_length_b 4.9943
_cell_length_c 4.2034
_cell_angle_alpha 90.00
_cell_angle_beta 90.00
_cell_angle_gamma 90.00
_space_group_name_H-M_alt 'P 4/m m m'
_space_group_IT_number 123
_space_group_name_Hall '-P 4 2'
loop_
_atom_site_label
_atom_site_fract_x
_atom_site_fract_y
_atom_site_fract_z
Na1 0.0000 0.0000 0.0000
Ac1 0.5000 0.5000 0.0000
As1 0.0000 0.5000 0.5000
# ΔE_f, eV per atom: -0.70

***

# NaAcAs (PBE-GGA, optimized geometry)
data_NaAcAs
_chemical_formula_sum 'Na2 Ac2 As2'
_cell_length_a 4.3620
_cell_length_b 4.3620
_cell_length_c 14.5582
_cell_angle_alpha 90.00
_cell_angle_beta 90.00
_cell_angle_gamma 90.00
_space_group_name_H-M_alt 'I 4 m m'
_space_group_IT_number 107
_space_group_name_Hall 'I 4 -2'
loop_
_atom_site_label
_atom_site_fract_x
_atom_site_fract_y
_atom_site_fract_z
Na1 0.0000 0.0000 0.0000
Ac1 0.0000 0.0000 0.2808
As1 0.0000 0.0000 0.8029
# ΔE_f, eV per atom: -0.55

***

# NaAcAs4 (PBE-GGA, optimized geometry)
data_NaAcAs4
_chemical_formula_sum 'Na4 Ac4 As16'
_cell_length_a 8.2750
_cell_length_b 8.2750
_cell_length_c 8.2750
_cell_angle_alpha 90.00
_cell_angle_beta 90.00
_cell_angle_gamma 90.00
_space_group_name_H-M_alt 'F -4 3 m'
_space_group_IT_number 216
_space_group_name_Hall 'F -4 2 3'
loop_
_atom_site_label
_atom_site_fract_x
_atom_site_fract_y
_atom_site_fract_z
Na1 0.0000 0.0000 0.0000
Ac1 0.2500 0.2500 0.2500
As1 0.1275 0.1275 0.6275
# ΔE_f, eV per atom: -0.39

***

| no. | energy (eV/cell) |
| --- | --- |
| 1 | -168.43 |
| 2 | -89.49 |
| 3 | -24.62 |
| 4 | -48.73 |
| 5 | -69.48 |
| 6 | -17.54 |
| 7 | -23.44 |
| 8 | -105.38 |